Entry 1:
First-principles (PBE) data for a geometry-optimized KNa6Hg3 structure, as listed in Alexandria via LeMat-Bulk.

The density of states at the Fermi level is 4.5 states/eV/f.u. For the total magnetization, the calculation gives 0.000 μB/cell. The value obtained for the formation energy is -3.5 kcal/mol of atoms. For the total DFT energy (no corrections), the calculation gives -1.1449 eV per atom.

It has space group P2_1/m (No. 11), with a = 9.866 Å, b = 5.193 Å, c = 13.134 Å, α = 90.00°, β = 99.49° and γ = 90.00°. The distinct sites, in fractional coordinates, are K at (0.076, 0.250, 0.234), Na at (0.102, 0.250, 0.569), Na at (0.256, 0.750, 0.020), Na at (0.315, 0.750, 0.694), Na at (0.369, 0.250, 0.888), Na at (0.403, 0.250, 0.458), Na at (0.404, 0.750, 0.279), Hg at (0.065, 0.250, 0.955), Hg at (0.221, 0.750, 0.454) and Hg at (0.423, 0.250, 0.136).

=====

Entry 2:
First-principles (PBE) data for a geometry-optimized K3Na8Hg3 structure, as listed in Alexandria via LeMat-Bulk.

The density of states at the Fermi level is 6.9 states/eV/f.u. For the total magnetization, the calculation gives 0.000 μB/cell. The value obtained for the formation energy is -2.3 kcal/mol of atoms. For the total DFT energy (no corrections), the calculation gives -1.1533 eV per atom.

It has space group C2/m (No. 12), with a = 19.158 Å, b = 5.666 Å, c = 12.142 Å, α = 90.00°, β = 129.10° and γ = 90.00°. The distinct sites, in fractional coordinates, are K at (0.000, 0.000, 0.000), K at (0.225, 0.500, 0.708), Na at (0.002, 0.500, 0.359), Na at (0.118, 0.500, 0.997), Na at (0.146, 0.000, 0.437), Na at (0.146, 0.000, 0.840), Hg at (0.000, 0.000, 0.500) and Hg at (0.129, 0.500, 0.272).

=====

Entry 3:
First-principles (PBE) data for a geometry-optimized K2NaHg structure, as listed in Alexandria via LeMat-Bulk.

The density of states at the Fermi level is 3.1 states/eV/f.u. The value obtained for the relative energy among the computed polymorphs is 0.087 eV per atom. For the total magnetization, the calculation gives 0.000 μB/cell. The value obtained for the formation energy is -1.0 kcal/mol of atoms. For the total DFT energy (no corrections), the calculation gives -0.9956 eV per atom.

It has space group R3m (No. 160, hexagonal axes), with a = 4.3485 Å, b = 4.3485 Å, c = 34.8526 Å, α = 90.00°, β = 90.00° and γ = 120.00°. The distinct sites, in fractional coordinates, are K at (0.0000, 0.0000, 0.0000), K at (0.0000, 0.0000, 0.1899), Na at (0.0000, 0.0000, 0.7616) and Hg at (0.0000, 0.0000, 0.5950).

=====

Entry 4:
First-principles (PBE) data for a geometry-optimized KNaHg structure, as listed in Alexandria via LeMat-Bulk.

The density of states at the Fermi level is 1.4 states/eV/f.u. The value obtained for the relative energy among the computed polymorphs is 0.000 eV per atom. For the total magnetization, the calculation gives 0.000 μB/cell. The value obtained for the formation energy is -4.3 kcal/mol of atoms. For the total DFT energy (no corrections), the calculation gives -1.0929 eV per atom.

It has space group Ima2 (No. 46), with a = 10.134 Å, b = 15.124 Å, c = 8.717 Å, α = 90.00°, β = 90.00° and γ = 90.00°. The distinct sites, in fractional coordinates, are K at (0.250, 0.000, 0.000), K at (0.250, 0.206, 0.382), K at (0.250, 0.707, 0.880), Na at (0.000, 0.000, 0.347), Na at (0.001, 0.120, 0.708), Hg at (0.001, 0.166, 0.087) and Hg at (0.250, 0.501, 0.087).

=====

Entry 5:
First-principles (PBE) data for a geometry-optimized KNa4Hg3 structure, as listed in Alexandria via LeMat-Bulk.

The density of states at the Fermi level is 3.1 states/eV/f.u. For the total magnetization, the calculation gives 0.000 μB/cell. The value obtained for the formation energy is -3.9 kcal/mol of atoms. For the total DFT energy (no corrections), the calculation gives -1.0798 eV per atom.

It has space group Pmma (No. 51), with a = 10.657 Å, b = 8.529 Å, c = 5.328 Å, α = 90.00°, β = 90.00° and γ = 90.00°. The distinct sites, in fractional coordinates, are K at (0.000, 0.000, 0.000), Na at (0.000, 0.289, 0.500), Na at (0.250, 0.289, 0.001), Hg at (0.000, 0.500, 0.000), Hg at (0.250, 0.000, 0.500) and Hg at (0.250, 0.500, 0.501).

=====

Entry 6:
First-principles (PBE) data for a geometry-optimized K12NaHg7 structure, as listed in Alexandria via LeMat-Bulk.

The density of states at the Fermi level is 10.7 states/eV/f.u. The value obtained for the relative energy among the computed polymorphs is 0.021 eV per atom. For the total magnetization, the calculation gives 0.000 μB/cell. The value obtained for the formation energy is -3.3 kcal/mol of atoms. For the total DFT energy (no corrections), the calculation gives -0.9713 eV per atom.

It has space group R-3 (No. 148, hexagonal axes), with a = 16.4235 Å, b = 16.4235 Å, c = 11.4848 Å, α = 90.00°, β = 90.00° and γ = 120.00°. The distinct sites, in fractional coordinates, are K at (0.0382, 0.1839, 0.2147), K at (0.0477, 0.2576, 0.5901), Na at (0.0000, 0.0000, 0.0000), Hg at (0.0000, 0.0000, 0.5000) and Hg at (0.0742, 0.4837, 0.5773).

=====

Entry 7:
First-principles (PBE) data for a geometry-optimized K3Na8Hg structure, as listed in Alexandria via LeMat-Bulk.

The density of states at the Fermi level is 8.2 states/eV/f.u. For the total magnetization, the calculation gives 0.000 μB/cell. The value obtained for the formation energy is 0.1 kcal/mol of atoms. For the total DFT energy (no corrections), the calculation gives -1.1736 eV per atom.

It has space group R3m (No. 160, hexagonal axes), with a = 7.1697 Å, b = 7.1697 Å, c = 34.9376 Å, α = 90.00°, β = 90.00° and γ = 120.00°. The distinct sites, in fractional coordinates, are K at (0.0000, 0.0000, 0.0000), K at (0.0000, 0.0000, 0.1291), K at (0.0000, 0.0000, 0.6167), Na at (0.0000, 0.0000, 0.3123), Na at (0.0000, 0.0000, 0.8135), Na at (0.0056, 0.5028, 0.0662), Na at (0.1671, 0.3342, 0.8934) and Hg at (0.0000, 0.0000, 0.4860).

=====

Entry 8:
First-principles (PBE) data for a geometry-optimized K3Na3Hg8 structure, as listed in Alexandria via LeMat-Bulk.

The density of states at the Fermi level is 6.4 states/eV/f.u. For the total magnetization, the calculation gives 0.000 μB/cell. The value obtained for the formation energy is -5.5 kcal/mol of atoms. For the total DFT energy (no corrections), the calculation gives -0.9301 eV per atom.

It has space group Immm (No. 71), with a = 5.164 Å, b = 11.118 Å, c = 15.553 Å, α = 90.00°, β = 90.00° and γ = 90.00°. The distinct sites, in fractional coordinates, are K at (0.000, 0.000, 0.000), K at (0.000, 0.000, 0.290), Na at (0.000, 0.211, 0.500), Na at (0.000, 0.500, 0.000), Hg at (0.000, 0.291, 0.137) and Hg at (0.000, 0.359, 0.332).